Compound: Co2BO
Source: Alexandria
Functional: GGA+U
Structure: relaxed

It has space group I-42d (No. 122), with a = 4.5294 Å, b = 4.5294 Å, c = 8.6947 Å, α = 90.00°, β = 90.00° and γ = 90.00°. The distinct sites, in fractional coordinates, are Co at (0.2425, 0.2500, 0.1250), B at (0.0000, 0.0000, 0.5000) and O at (0.0000, 0.0000, 0.0000).

The value obtained for the distance to the lowest polymorph of the same formula is 0.0000 eV/atom. As for the magnetic moment: 12.0 Bohr magnetons per cell. The calculation puts the density of states at the Fermi level at 0.7 states/eV/cell.

Compound: Co4B6O13
Source: Alexandria
Functional: GGA+U
Structure: relaxed

It has space group I-43m (No. 217), with a = 7.5461 Å, b = 7.5461 Å, c = 7.5461 Å, α = 90.00°, β = 90.00° and γ = 90.00°. The distinct sites, in fractional coordinates, are Co at (0.1538, 0.1538, 0.8462), B at (0.0000, 0.2500, 0.5000), O at (0.0000, 0.0000, 0.0000) and O at (0.0829, 0.3591, 0.3591).

As for the energy: -7.4213 eV/atom. As for the magnetic moment: 24.0 Bohr magnetons per cell. The calculation puts the density of states at the Fermi level at 0.0 states/eV/cell.

> Which of these has the lowest density of states at the Fermi level?

Co4B6O13